1.
PmPrGa | PBE | relaxed

Geometry as POSCAR:
```
PmPrGa
1.0
8.125 0.000 0.000
-4.062 7.036 0.000
0.000 0.000 4.527
Pm Pr Ga
3 3 3
Cartesian
-2.973 5.149 0.000
1.089 1.887 0.000
5.946 0.000 0.000
-1.643 2.846 2.264
3.286 0.000 2.264
2.419 4.190 2.264
0.000 0.000 2.264
0.000 4.691 0.000
4.062 2.345 0.000
```

Computed properties:
**Relative energy among the computed polymorphs**: 0 meV/atom
**Calculated volume**: 258.8 Å³ per cell
**E_form**: -0.3975 eV/atom
**DOS at the Fermi energy**: 9.86 states/eV/cell

2.
Be2AlW | PBE | relaxed

Geometry as POSCAR:
```
Be2AlW
1.0
1.875 -2.099 0.000
1.875 2.099 0.000
0.000 0.000 6.140
Be Al W
2 1 1
Cartesian
0.000 0.000 0.000
1.875 0.000 0.951
1.875 0.000 4.524
0.000 0.000 2.562
```

Computed properties:
**Calculated volume**: 48.3 Å³ per cell
**E_form**: 0.1709 eV/atom
**DOS at the Fermi energy**: 1.61 states/eV/cell

3.
Ac3Cd2N | PBE | relaxed

Geometry as POSCAR:
```
Ac3Cd2N
1.0
6.988 -3.701 0.000
6.988 3.701 0.000
-1.834 0.000 7.487
Ac Cd N
6 4 2
Cartesian
5.612 2.989 5.615
5.239 0.634 0.237
4.322 -0.634 3.980
7.819 0.634 3.507
6.901 -0.634 7.250
6.529 -2.989 1.872
1.456 1.104 4.710
2.373 -1.104 0.966
9.767 1.104 6.521
10.685 -1.104 2.777
5.612 0.556 5.615
6.529 -0.556 1.872
```

Computed properties:
**Relative energy among the computed polymorphs**: 36 meV/atom
**Calculated volume**: 387.3 Å³ per cell
**Formation energy from raw total energies**: -485.1 meV/atom
**DOS at the Fermi energy**: 7.62 states/eV/cell

4.
ZnMo4Se | PBE | relaxed

Geometry as POSCAR:
```
ZnMo4Se
1.0
0.000 3.730 3.730
3.730 0.000 3.730
3.730 3.730 0.000
Zn Mo Se
1 4 1
Cartesian
0.000 0.000 0.000
2.793 2.793 2.793
4.668 4.668 2.793
4.668 2.793 4.668
2.793 4.668 4.668
5.595 5.595 5.595
```

Computed properties:
**Calculated volume**: 103.8 Å³ per cell
**Formation energy from raw total energies**: 596.8 meV/atom
**DOS at the Fermi energy**: 4.38 states/eV/cell

5.
Pa6TeSe12 | PBE | relaxed

Geometry as POSCAR:
```
Pa6TeSe12
1.0
6.572 3.795 3.535
-6.572 3.795 3.535
0.000 -7.589 3.535
Pa Te Se
6 1 12
Cartesian
0.000 -3.191 4.145
-2.763 1.595 4.145
-2.763 -1.595 6.459
2.763 1.595 4.145
2.763 -1.595 6.459
0.000 3.191 6.459
0.000 0.000 0.000
-2.451 -4.246 5.302
-4.903 0.000 5.302
-1.745 -1.008 3.840
1.745 -1.008 3.840
0.000 2.015 3.840
2.451 -4.246 5.302
-2.451 4.246 5.302
0.000 -2.015 6.764
-1.745 1.008 6.764
1.745 1.008 6.764
4.903 0.000 5.302
2.451 4.246 5.302
```

Computed properties:
**Calculated volume**: 528.9 Å³ per cell
**Formation energy from raw total energies**: -1172.2 meV/atom
**DOS at the Fermi energy**: 15.44 states/eV/cell

6.
Si2IrRu2 | PBE | relaxed

Geometry as POSCAR:
```
Si2IrRu2
1.0
6.907 0.000 0.000
0.000 6.907 0.000
0.000 0.000 2.804
Si Ir Ru
4 2 4
Cartesian
1.016 2.437 0.000
2.437 5.891 0.000
4.470 1.016 0.000
5.891 4.470 0.000
0.000 0.000 0.000
3.454 3.454 0.000
1.051 4.504 1.402
2.403 1.051 1.402
4.504 5.857 1.402
5.857 2.403 1.402
```

Computed properties:
**Calculated volume**: 133.8 Å³ per cell
**Formation energy from raw total energies**: -379.0 meV/atom
**DOS at the Fermi energy**: 7.67 states/eV/cell

7.
Tm2Tl2In | PBE | relaxed

Geometry as POSCAR:
```
Tm2Tl2In
1.0
0.000 5.788 10.342
2.580 0.000 10.342
2.580 5.788 0.000
Tm Tl In
4 4 2
Cartesian
1.935 0.326 7.756
3.225 3.219 12.927
1.935 8.356 7.756
3.225 11.250 12.927
2.580 2.894 5.171
1.290 5.788 5.171
1.290 2.894 10.342
2.580 5.788 10.342
1.935 4.341 7.756
3.225 7.235 12.927
```

Computed properties:
**Relative energy among the computed polymorphs**: 257 meV/atom
**Calculated volume**: 308.8 Å³ per cell
**E_form**: 0.0979 eV/atom
**DOS at the Fermi energy**: 6.92 states/eV/cell

8.
Be2AlF | PBE | relaxed

Geometry as POSCAR:
```
Be2AlF
1.0
-2.494 2.494 4.186
2.494 -2.494 4.186
2.494 2.494 -4.186
Be Al F
4 2 2
Cartesian
3.741 0.718 -1.047
0.718 1.247 1.047
-1.247 1.776 3.140
1.776 1.247 5.233
2.494 0.000 2.093
0.000 0.000 4.186
0.000 0.000 0.000
0.000 2.494 2.093
```

Computed properties:
**Relative energy among the computed polymorphs**: 0 meV/atom
**Calculated volume**: 104.1 Å³ per cell
**Formation energy from raw total energies**: -190.2 meV/atom
**DOS at the Fermi energy**: 1.38 states/eV/cell

9.
Ba3Cu2TeSe6 | PBE | relaxed

Geometry as POSCAR:
```
Ba3Cu2TeSe6
1.0
7.765 0.000 0.000
-3.882 6.725 0.000
0.000 0.000 8.137
Ba Cu Te Se
3 2 1 6
Cartesian
0.000 0.000 0.000
0.000 4.483 4.999
3.882 2.242 3.138
0.000 4.483 1.729
3.882 2.242 6.408
0.000 0.000 4.068
0.000 2.247 2.390
-1.937 5.601 2.390
1.946 1.123 5.747
1.937 5.601 2.390
5.819 1.123 5.747
3.882 4.478 5.747
```

Computed properties:
**Calculated volume**: 424.9 Å³ per cell
**Formation energy from raw total energies**: -843.0 meV/atom
**DOS at the Fermi energy**: 3.88 states/eV/cell

10.
PaReSi | PBE | relaxed

Geometry as POSCAR:
```
PaReSi
1.0
4.348 0.000 0.000
-2.174 3.765 0.000
0.000 0.000 3.512
Pa Re Si
1 1 1
Cartesian
0.000 0.000 0.000
2.174 1.255 1.756
0.000 2.510 1.756
```

Computed properties:
**Calculated volume**: 57.5 Å³ per cell
**Formation energy from raw total energies**: -332.8 meV/atom
**DOS at the Fermi energy**: 5.57 states/eV/cell

11.
YSi2Ir | PBE | relaxed

Geometry as POSCAR:
```
YSi2Ir
1.0
3.534 -2.047 0.000
3.534 2.047 0.000
-2.375 0.000 4.913
Y Si Ir
1 2 1
Cartesian
0.000 0.000 0.000
-0.012 0.000 3.132
4.705 0.000 1.780
2.346 0.000 2.456
```

Computed properties:
**Calculated volume**: 71.1 Å³ per cell
**Formation energy from raw total energies**: -883.2 meV/atom
**DOS at the Fermi energy**: 1.21 states/eV/cell

12.
BaAg2Bi2 | PBE | relaxed

Geometry as POSCAR:
```
BaAg2Bi2
1.0
9.027 0.000 0.000
0.000 9.027 0.000
0.000 0.000 3.555
Ba Ag Bi
2 4 4
Cartesian
0.000 0.000 0.000
4.513 4.513 0.000
1.391 3.123 1.777
3.123 7.636 1.777
5.904 1.391 1.777
7.636 5.904 1.777
1.262 5.775 0.000
3.252 1.262 0.000
5.775 7.765 0.000
7.765 3.252 0.000
```

Computed properties:
**Calculated volume**: 289.6 Å³ per cell
**E_form**: -0.1217 eV/atom
**DOS at the Fermi energy**: 7.95 states/eV/cell

13.
TaWBr2 | PBE | relaxed

Geometry as POSCAR:
```
TaWBr2
1.0
3.005 0.000 0.000
0.000 3.005 0.000
0.000 0.000 9.695
Ta W Br
1 1 2
Cartesian
0.000 0.000 0.000
0.000 0.000 4.848
1.503 1.503 1.718
1.503 1.503 7.977
```

Computed properties:
**Relative energy among the computed polymorphs**: 1258 meV/atom
**Calculated volume**: 87.6 Å³ per cell
**Formation energy from raw total energies**: 1203.1 meV/atom
**DOS at the Fermi energy**: 2.58 states/eV/cell

14.
RbAgHg2Pb | PBE | relaxed

Geometry as POSCAR:
```
RbAgHg2Pb
1.0
5.574 0.000 0.000
0.000 5.574 0.000
0.000 0.000 5.578
Rb Ag Hg Pb
1 1 2 1
Cartesian
0.000 0.000 0.000
2.787 2.787 2.789
0.000 2.787 2.789
2.787 0.000 2.789
2.787 2.787 0.000
```

Computed properties:
**Relative energy among the computed polymorphs**: 0 meV/atom
**Calculated volume**: 173.3 Å³ per cell
**E_form**: 0.0401 eV/atom
**DOS at the Fermi energy**: 2.17 states/eV/cell

15.
TaBeCr2 | PBE | relaxed

Geometry as POSCAR:
```
TaBeCr2
1.0
-1.537 2.083 4.019
1.537 -2.083 4.019
1.537 2.083 -4.019
Ta Be Cr
1 1 2
Cartesian
0.000 0.000 0.000
1.537 0.000 2.174
0.000 0.000 4.189
0.000 2.083 1.925
```

Computed properties:
**Calculated volume**: 51.4 Å³ per cell
**E_form**: 0.1454 eV/atom
**DOS at the Fermi energy**: 2.89 states/eV/cell

16.
K2CuAu | PBE | relaxed

Geometry as POSCAR:
```
K2CuAu
1.0
3.674 0.000 0.000
0.000 3.674 0.000
0.000 0.000 9.831
K Cu Au
2 1 1
Cartesian
0.000 0.000 0.000
1.837 1.837 4.145
1.837 1.837 7.156
0.000 0.000 6.695
```

Computed properties:
**Relative energy among the computed polymorphs**: 126 meV/atom
**Calculated volume**: 132.7 Å³ per cell
**E_form**: 0.0667 eV/atom
**DOS at the Fermi energy**: 2.23 states/eV/cell

17.
Rb2SmI5 | PBE | relaxed

Geometry as POSCAR:
```
Rb2SmI5
1.0
-4.572 4.572 5.595
4.572 -4.572 5.595
4.572 4.572 -5.595
Rb Sm I
2 1 5
Cartesian
4.572 0.000 0.000
0.000 4.572 0.000
0.000 0.000 2.603
2.123 2.123 2.030
2.448 -2.448 7.625
0.000 0.000 5.497
-2.448 2.448 7.625
2.448 2.448 7.625
```

Computed properties:
**Relative energy among the computed polymorphs**: 75 meV/atom
**Calculated volume**: 467.8 Å³ per cell
**Formation energy from raw total energies**: -1391.3 meV/atom
**DOS at the Fermi energy**: 0.00 states/eV/cell

18.
BaLi2Co | PBE | relaxed

Geometry as POSCAR:
```
BaLi2Co
1.0
3.566 0.000 0.000
0.000 3.585 0.000
0.000 0.000 7.509
Ba Li Co
1 2 1
Cartesian
0.000 0.000 0.000
0.000 0.000 3.123
1.783 1.793 4.545
1.783 1.793 1.998
```

Computed properties:
**Relative energy among the computed polymorphs**: 46 meV/atom
**Calculated volume**: 96.0 Å³ per cell
**E_form**: 0.4013 eV/atom
**DOS at the Fermi energy**: 6.69 states/eV/cell

19.
CsLi3Ge | PBE | relaxed

Geometry as POSCAR:
```
CsLi3Ge
1.0
5.166 0.000 0.000
0.000 5.166 0.000
0.000 0.000 5.166
Cs Li Ge
1 3 1
Cartesian
0.000 0.000 0.000
0.000 0.000 2.583
0.000 2.583 0.000
2.583 0.000 0.000
2.583 2.583 2.583
```

Computed properties:
**Relative energy among the computed polymorphs**: 1121 meV/atom
**Calculated volume**: 137.9 Å³ per cell
**E_form**: 0.9696 eV/atom
**DOS at the Fermi energy**: 0.05 states/eV/cell

20.
Y2ZrBr | PBE | relaxed

Geometry as POSCAR:
```
Y2ZrBr
1.0
0.000 3.785 3.785
3.785 0.000 3.785
3.785 3.785 0.000
Y Zr Br
2 1 1
Cartesian
0.000 0.000 0.000
1.892 1.892 1.892
5.677 5.677 5.677
3.785 3.785 3.785
```

Computed properties:
**Relative energy among the computed polymorphs**: 812 meV/atom
**Calculated volume**: 108.4 Å³ per cell
**Formation energy from raw total energies**: 338.9 meV/atom
**DOS at the Fermi energy**: 7.83 states/eV/cell